(1)
## KTl5I6 (PBE-GGA)

Data for a relaxed structure of KTl5I6.

Properties
E_tot, eV/atom: -2.6538
Magnetization, μB/atom: 0.00
Fermi-level density of states, states/eV per cell: 0.00
Symmetry: No. 12
V, Å³ per cell: 537.1
Energy relative to the elements, uncorrected, meV per atom: -801

Cell and atoms, written as CIF:
```
data_KTl5I6
_chemical_formula_sum 'K1 Tl5 I6'
_cell_length_a 8.692
_cell_length_b 8.698
_cell_length_c 8.700
_cell_angle_alpha 60.01
_cell_angle_beta 80.41
_cell_angle_gamma 70.53
_space_group_name_H-M_alt 'P 1'
_space_group_IT_number 1
_space_group_name_Hall 'P 1'
loop_
_atom_site_label
_atom_site_fract_x
_atom_site_fract_y
_atom_site_fract_z
I1 0.751 0.749 0.000
I2 0.249 0.251 0.000
I3 0.750 0.083 0.334
I4 0.750 0.417 0.666
I5 0.250 0.583 0.334
I6 0.250 0.917 0.666
Tl1 0.000 0.333 0.335
Tl2 0.500 0.500 0.000
Tl3 0.000 0.667 0.665
Tl4 0.500 0.835 0.331
Tl5 0.500 0.165 0.669
K1 0.000 0.000 0.000
```


(2)
## KTl2I (PBE-GGA)

Data for a relaxed structure of KTl2I.

Properties
E_tot, eV/atom: -1.9954
Magnetization, μB/atom: 0.00
Fermi-level density of states, states/eV per cell: 4.73
Symmetry: No. 225
V, Å³ per cell: 154.9
Excess energy over the best structure of this formula in the dataset, meV/atom: 159
Energy relative to the elements, uncorrected, meV per atom: -150

Cell and atoms, written as CIF:
```
data_KTl2I
_chemical_formula_sum 'K1 Tl2 I1'
_cell_length_a 6.028
_cell_length_b 6.028
_cell_length_c 6.028
_cell_angle_alpha 60.00
_cell_angle_beta 60.00
_cell_angle_gamma 60.00
_space_group_name_H-M_alt 'P 1'
_space_group_IT_number 1
_space_group_name_Hall 'P 1'
loop_
_atom_site_label
_atom_site_fract_x
_atom_site_fract_y
_atom_site_fract_z
K1 0.000 0.000 0.000
Tl1 0.250 0.250 0.250
Tl2 0.750 0.750 0.750
I1 0.500 0.500 0.500
```


(3)
## K2TlI2 (PBE-GGA)

Data for a relaxed structure of K2TlI2.

Properties
E_tot, eV/atom: -2.4871
Magnetization, μB/atom: 0.00
Fermi-level density of states, states/eV per cell: 4.39
Symmetry: No. 127
V, Å³ per cell: 417.9
Excess energy over the best structure of this formula in the dataset, meV/atom: 0
Energy relative to the elements, uncorrected, meV per atom: -955

Cell and atoms, written as CIF:
```
data_K2TlI2
_chemical_formula_sum 'K4 Tl2 I4'
_cell_length_a 9.653
_cell_length_b 9.653
_cell_length_c 4.484
_cell_angle_alpha 90.00
_cell_angle_beta 90.00
_cell_angle_gamma 90.00
_space_group_name_H-M_alt 'P 1'
_space_group_IT_number 1
_space_group_name_Hall 'P 1'
loop_
_atom_site_label
_atom_site_fract_x
_atom_site_fract_y
_atom_site_fract_z
I1 0.152 0.348 0.000
I2 0.348 0.848 0.000
I3 0.652 0.152 0.000
I4 0.848 0.652 0.000
K1 0.651 0.849 0.500
K2 0.349 0.151 0.500
K3 0.151 0.651 0.500
K4 0.849 0.349 0.500
Tl1 0.500 0.500 0.000
Tl2 0.000 0.000 0.000
```


(4)
## KTl3I4 (PBE-GGA)

Data for a relaxed structure of KTl3I4.

Properties
E_tot, eV/atom: -2.6690
Magnetization, μB/atom: 0.00
Fermi-level density of states, states/eV per cell: 0.00
Symmetry: No. 13
V, Å³ per cell: 718.4
Energy relative to the elements, uncorrected, meV per atom: -869

Cell and atoms, written as CIF:
```
data_KTl3I4
_chemical_formula_sum 'K2 Tl6 I8'
_cell_length_a 8.709
_cell_length_b 8.712
_cell_length_c 10.047
_cell_angle_alpha 90.00
_cell_angle_beta 90.00
_cell_angle_gamma 109.53
_space_group_name_H-M_alt 'P 1'
_space_group_IT_number 1
_space_group_name_Hall 'P 1'
loop_
_atom_site_label
_atom_site_fract_x
_atom_site_fract_y
_atom_site_fract_z
Tl1 0.750 0.500 0.125
Tl2 0.750 0.500 0.625
Tl3 0.250 0.500 0.875
Tl4 0.750 0.000 0.375
Tl5 0.250 0.000 0.625
Tl6 0.250 0.500 0.375
I1 0.500 0.751 0.625
I2 0.500 0.750 0.125
I3 0.500 0.249 0.375
I4 0.000 0.250 0.125
I5 0.000 0.751 0.375
I6 0.500 0.250 0.875
I7 0.000 0.249 0.625
I8 0.000 0.750 0.875
K1 0.750 0.000 0.874
K2 0.250 0.000 0.126
```


(5)
## KTlI (PBE-GGA)

Data for a relaxed structure of KTlI.

Properties
E_tot, eV/atom: -2.4295
Magnetization, μB/atom: 0.00
Fermi-level density of states, states/eV per cell: 1.22
Symmetry: No. 2
V, Å³ per cell: 275.2
Energy relative to the elements, uncorrected, meV per atom: -758

Cell and atoms, written as CIF:
```
data_KTlI
_chemical_formula_sum 'K2 Tl2 I2'
_cell_length_a 5.693
_cell_length_b 5.676
_cell_length_c 11.616
_cell_angle_alpha 61.20
_cell_angle_beta 61.11
_cell_angle_gamma 62.67
_space_group_name_H-M_alt 'P 1'
_space_group_IT_number 1
_space_group_name_Hall 'P 1'
loop_
_atom_site_label
_atom_site_fract_x
_atom_site_fract_y
_atom_site_fract_z
I1 0.933 0.932 0.341
I2 0.067 0.068 0.659
Tl1 0.176 0.174 0.997
Tl2 0.824 0.826 0.003
K1 0.678 0.681 0.727
K2 0.322 0.319 0.273
```


(6)
## K2TlI5 (PBE-GGA)

Data for a relaxed structure of K2TlI5.

Properties
E_tot, eV/atom: -2.3782
Magnetization, μB/atom: 0.00
Symmetry: No. 1
V, Å³ per cell: 406.4
Energy relative to the elements, uncorrected, meV per atom: -839

Cell and atoms, written as CIF:
```
data_K2TlI5
_chemical_formula_sum 'K2 Tl1 I5'
_cell_length_a 9.055
_cell_length_b 9.053
_cell_length_c 7.682
_cell_angle_alpha 119.05
_cell_angle_beta 118.97
_cell_angle_gamma 100.09
_space_group_name_H-M_alt 'P 1'
_space_group_IT_number 1
_space_group_name_Hall 'P 1'
loop_
_atom_site_label
_atom_site_fract_x
_atom_site_fract_y
_atom_site_fract_z
I1 0.696 0.695 0.393
I2 0.204 0.738 0.942
I3 0.883 0.883 0.209
I4 0.325 0.325 0.208
I5 0.738 0.203 0.941
K1 0.223 0.724 0.447
K2 0.724 0.225 0.447
Tl1 0.984 0.984 0.969
```


(7)
## K5TlI8 (PBE-GGA)

Data for a relaxed structure of K5TlI8.

Properties
E_tot, eV/atom: -2.5071
Magnetization, μB/atom: 0.00
Fermi-level density of states, states/eV per cell: 2.00
Symmetry: No. 82
V, Å³ per cell: 652.9
Energy relative to the elements, uncorrected, meV per atom: -1060

Cell and atoms, written as CIF:
```
data_K5TlI8
_chemical_formula_sum 'K5 Tl1 I8'
_cell_length_a 9.479
_cell_length_b 9.479
_cell_length_c 9.479
_cell_angle_alpha 111.66
_cell_angle_beta 111.66
_cell_angle_gamma 105.17
_space_group_name_H-M_alt 'P 1'
_space_group_IT_number 1
_space_group_name_Hall 'P 1'
loop_
_atom_site_label
_atom_site_fract_x
_atom_site_fract_y
_atom_site_fract_z
I1 0.484 0.272 0.603
I2 0.120 0.516 0.788
I3 0.053 0.777 0.200
I4 0.669 0.880 0.397
I5 0.728 0.331 0.212
I6 0.147 0.947 0.724
I7 0.223 0.423 0.276
I8 0.577 0.853 0.800
K1 0.745 0.599 0.582
K2 0.500 0.500 0.000
K3 0.017 0.163 0.418
K4 0.401 0.983 0.146
K5 0.837 0.255 0.854
Tl1 0.250 0.750 0.500
```


(8)
## K3TlI6 (PBE-GGA)

Data for a relaxed structure of K3TlI6.

Properties
E_tot, eV/atom: -2.3623
Magnetization, μB/atom: 0.00
Symmetry: No. 225
V, Å³ per cell: 508.4
Energy relative to the elements, uncorrected, meV per atom: -866

Cell and atoms, written as CIF:
```
data_K3TlI6
_chemical_formula_sum 'K3 Tl1 I6'
_cell_length_a 8.959
_cell_length_b 8.959
_cell_length_c 8.959
_cell_angle_alpha 60.00
_cell_angle_beta 60.00
_cell_angle_gamma 60.00
_space_group_name_H-M_alt 'P 1'
_space_group_IT_number 1
_space_group_name_Hall 'P 1'
loop_
_atom_site_label
_atom_site_fract_x
_atom_site_fract_y
_atom_site_fract_z
I1 0.237 0.237 0.763
I2 0.237 0.763 0.237
I3 0.763 0.237 0.237
I4 0.763 0.237 0.763
I5 0.237 0.763 0.763
I6 0.763 0.763 0.237
K1 0.750 0.750 0.750
K2 0.500 0.500 0.500
K3 0.250 0.250 0.250
Tl1 0.000 0.000 0.000
```


(9)
## KTlI3 (PBE-GGA)

Data for a relaxed structure of KTlI3.

Properties
E_tot, eV/atom: -2.4026
Magnetization, μB/atom: 0.00
Fermi-level density of states, states/eV per cell: 5.14
Symmetry: No. 2
V, Å³ per cell: 463.8
Excess energy over the best structure of this formula in the dataset, meV/atom: 3
Energy relative to the elements, uncorrected, meV per atom: -780

Cell and atoms, written as CIF:
```
data_KTlI3
_chemical_formula_sum 'K2 Tl2 I6'
_cell_length_a 4.952
_cell_length_b 10.214
_cell_length_c 9.380
_cell_angle_alpha 77.85
_cell_angle_beta 90.01
_cell_angle_gamma 90.03
_space_group_name_H-M_alt 'P 1'
_space_group_IT_number 1
_space_group_name_Hall 'P 1'
loop_
_atom_site_label
_atom_site_fract_x
_atom_site_fract_y
_atom_site_fract_z
Tl1 0.495 0.277 0.070
Tl2 0.991 0.627 0.712
I1 0.492 0.351 0.726
I2 0.992 0.553 0.056
I3 0.993 0.059 0.057
I4 0.992 0.626 0.386
I5 0.492 0.279 0.396
I6 0.492 0.846 0.725
K1 0.493 0.796 0.128
K2 0.992 0.108 0.654
```


(10)
## KTlI4 (PBE-GGA)

Data for a relaxed structure of KTlI4.

Properties
E_tot, eV/atom: -2.2869
Magnetization, μB/atom: 0.00
Fermi-level density of states, states/eV per cell: 0.00
Symmetry: No. 15
V, Å³ per cell: 655.1
Excess energy over the best structure of this formula in the dataset, meV/atom: 0
Energy relative to the elements, uncorrected, meV per atom: -676

Cell and atoms, written as CIF:
```
data_KTlI4
_chemical_formula_sum 'K2 Tl2 I8'
_cell_length_a 7.756
_cell_length_b 7.756
_cell_length_c 11.287
_cell_angle_alpha 84.13
_cell_angle_beta 84.13
_cell_angle_gamma 76.68
_space_group_name_H-M_alt 'P 1'
_space_group_IT_number 1
_space_group_name_Hall 'P 1'
loop_
_atom_site_label
_atom_site_fract_x
_atom_site_fract_y
_atom_site_fract_z
I1 0.658 0.284 0.456
I2 0.284 0.658 0.956
I3 0.342 0.716 0.544
I4 0.716 0.342 0.044
I5 0.788 0.819 0.736
I6 0.181 0.212 0.764
I7 0.819 0.788 0.236
I8 0.212 0.181 0.264
Tl1 0.859 0.141 0.250
Tl2 0.141 0.859 0.750
K1 0.500 0.000 0.000
K2 0.000 0.500 0.500
```


(11)
## KTl6I8 (PBE-GGA)

Data for a relaxed structure of KTl6I8.

Properties
E_tot, eV/atom: -2.5094
Magnetization, μB/atom: 0.00
Fermi-level density of states, states/eV per cell: 17.40
Symmetry: No. 148
V, Å³ per cell: 653.3
Energy relative to the elements, uncorrected, meV per atom: -663

Cell and atoms, written as CIF:
```
data_KTl6I8
_chemical_formula_sum 'K1 Tl6 I8'
_cell_length_a 9.176
_cell_length_b 9.176
_cell_length_c 9.176
_cell_angle_alpha 69.37
_cell_angle_beta 69.37
_cell_angle_gamma 69.37
_space_group_name_H-M_alt 'P 1'
_space_group_IT_number 1
_space_group_name_Hall 'P 1'
loop_
_atom_site_label
_atom_site_fract_x
_atom_site_fract_y
_atom_site_fract_z
I1 0.895 0.187 0.637
I2 0.187 0.637 0.895
I3 0.668 0.668 0.668
I4 0.332 0.332 0.332
I5 0.363 0.105 0.813
I6 0.105 0.813 0.363
I7 0.813 0.363 0.105
I8 0.637 0.895 0.187
Tl1 0.057 0.465 0.704
Tl2 0.296 0.943 0.535
Tl3 0.535 0.296 0.943
Tl4 0.704 0.057 0.465
Tl5 0.943 0.535 0.296
Tl6 0.465 0.704 0.057
K1 0.000 0.000 0.000
```


(12)
## K3TlI4 (PBE-GGA)

Data for a relaxed structure of K3TlI4.

Properties
E_tot, eV/atom: -2.7235
Magnetization, μB/atom: 0.00
Fermi-level density of states, states/eV per cell: 0.00
Symmetry: No. 31
V, Å³ per cell: 901.8
Excess energy over the best structure of this formula in the dataset, meV/atom: 40
Energy relative to the elements, uncorrected, meV per atom: -1241

Cell and atoms, written as CIF:
```
data_K3TlI4
_chemical_formula_sum 'K6 Tl2 I8'
_cell_length_a 7.081
_cell_length_b 10.509
_cell_length_c 12.119
_cell_angle_alpha 90.00
_cell_angle_beta 90.00
_cell_angle_gamma 90.00
_space_group_name_H-M_alt 'P 1'
_space_group_IT_number 1
_space_group_name_Hall 'P 1'
loop_
_atom_site_label
_atom_site_fract_x
_atom_site_fract_y
_atom_site_fract_z
I1 0.566 0.166 0.000
I2 0.064 0.333 0.249
I3 0.564 0.166 0.500
I4 0.564 0.667 0.251
I5 0.564 0.667 0.749
I6 0.064 0.333 0.751
I7 0.064 0.834 0.000
I8 0.066 0.834 0.500
K1 0.064 0.667 0.251
K2 0.564 0.333 0.751
K3 0.064 0.667 0.749
K4 0.564 0.834 0.000
K5 0.064 0.166 0.500
K6 0.564 0.333 0.249
Tl1 0.065 0.166 0.000
Tl2 0.565 0.834 0.500
```